[1]
Computed, not measured: crystalline NdDyAgHg at its relaxed geometry at the PBE level of DFT. Values from VASP.

Calculated values
Its energy is -3.513 eV/atom. The excess energy over the best structure of this formula in the dataset comes out at 0.000 eV/atom. The energy of formation is -0.38 eV/atom.

```
&SYSTEM
  ibrav = 0, nat = 4, ntyp = 4
/
ATOMIC_SPECIES
Nd 144.24 Nd.upf
Dy 162.50 Dy.upf
Ag 107.87 Ag.upf
Hg 200.59 Hg.upf
CELL_PARAMETERS angstrom
3.7164 0.0000 0.0000
0.0000 3.7164 0.0000
0.0000 0.0000 7.5553
ATOMIC_POSITIONS crystal
Nd 0.0000 0.0000 0.0000
Dy 0.0000 0.0000 0.4891
Ag 0.5000 0.5000 0.2647
Hg 0.5000 0.5000 0.7307
```

[2]
Computed, not measured: crystalline CaRe2Rh at its relaxed geometry at the PBE level of DFT. Values from VASP.

Calculated values
Its energy is -8.181 eV/atom. The excess energy over the best structure of this formula in the dataset comes out at 0.155 eV/atom. The energy of formation is 0.38 eV/atom.

```
&SYSTEM
  ibrav = 0, nat = 4, ntyp = 3
/
ATOMIC_SPECIES
Ca 40.08 Ca.upf
Re 186.21 Re.upf
Rh 102.91 Rh.upf
CELL_PARAMETERS angstrom
1.4393 0.8310 9.3039
-1.4393 0.8310 9.3039
0.0000 -1.6619 9.3039
ATOMIC_POSITIONS crystal
Ca 0.0000 0.0000 0.0000
Re 0.5024 0.5024 0.5024
Re 0.7611 0.7611 0.7611
Rh 0.2467 0.2467 0.2467
```

[3]
Computed, not measured: crystalline Cu3C at its relaxed geometry at the PBE level of DFT. Values from VASP.

Calculated values
Its energy is -4.321 eV/atom. The energy of formation is 1.06 eV/atom.

```
&SYSTEM
  ibrav = 0, nat = 4, ntyp = 2
/
ATOMIC_SPECIES
Cu 63.55 Cu.upf
C 12.01 C.upf
CELL_PARAMETERS angstrom
-1.7224 1.7224 3.5281
1.7224 -1.7224 3.5281
1.7224 1.7224 -3.5281
ATOMIC_POSITIONS crystal
Cu 0.0000 0.0000 0.0000
Cu 0.2500 0.7500 0.5000
Cu 0.7500 0.2500 0.5000
C 0.5000 0.5000 0.0000
```

[4]
Computed, not measured: crystalline ScTl3Sn2Te6 at its relaxed geometry at the PBE level of DFT. Values from VASP.

Calculated values
Its energy is -3.832 eV/atom.

```
&SYSTEM
  ibrav = 0, nat = 12, ntyp = 4
/
ATOMIC_SPECIES
Sc 44.96 Sc.upf
Tl 204.38 Tl.upf
Sn 118.71 Sn.upf
Te 127.60 Te.upf
CELL_PARAMETERS angstrom
3.8462 -6.6362 0.0000
3.8462 6.6362 0.0000
-2.5504 0.0000 7.8660
ATOMIC_POSITIONS crystal
Sc 0.0000 0.0000 0.0000
Tl 0.1731 0.8269 0.5000
Tl 0.5000 0.5000 0.5000
Tl 0.8269 0.1731 0.5000
Sn 0.3350 0.6650 0.0000
Sn 0.6650 0.3350 0.0000
Te 0.0690 0.3876 0.2097
Te 0.2458 0.2458 0.7856
Te 0.3876 0.0690 0.2097
Te 0.6124 0.9310 0.7903
Te 0.7542 0.7542 0.2144
Te 0.9310 0.6124 0.7903
```

[5]
Computed, not measured: crystalline KIn3Hg2 at its relaxed geometry at the PBE level of DFT. Values from VASP.

Calculated values
Its energy is -1.739 eV/atom. The excess energy over the best structure of this formula in the dataset comes out at 0.010 eV/atom. The energy of formation is -0.09 eV/atom.

```
&SYSTEM
  ibrav = 0, nat = 12, ntyp = 3
/
ATOMIC_SPECIES
K 39.10 K.upf
In 114.82 In.upf
Hg 200.59 Hg.upf
CELL_PARAMETERS angstrom
-1.8598 6.1228 7.8648
1.8598 -6.1228 7.8648
1.8598 6.1228 -7.8648
ATOMIC_POSITIONS crystal
K 0.1401 0.1401 0.0000
K 0.8599 0.8599 0.0000
In 0.1201 0.3295 0.7906
In 0.3735 0.0000 0.3735
In 0.4611 0.6705 0.7906
In 0.5389 0.3295 0.2094
In 0.6265 0.0000 0.6265
In 0.8799 0.6705 0.2094
Hg 0.1660 0.5000 0.6660
Hg 0.3317 0.8317 0.5000
Hg 0.6683 0.1683 0.5000
Hg 0.8340 0.5000 0.3340
```

[6]
Computed, not measured: crystalline Ti2InP at its relaxed geometry at the PBE level of DFT. Values from VASP.

Calculated values
Its energy is -6.295 eV/atom. The excess energy over the best structure of this formula in the dataset comes out at 0.362 eV/atom. The energy of formation is -0.31 eV/atom.

```
&SYSTEM
  ibrav = 0, nat = 8, ntyp = 3
/
ATOMIC_SPECIES
Ti 47.87 Ti.upf
In 114.82 In.upf
P 30.97 P.upf
CELL_PARAMETERS angstrom
-3.5476 3.5476 2.8937
3.5476 -3.5476 2.8937
3.5476 3.5476 -2.8937
ATOMIC_POSITIONS crystal
Ti 0.0852 0.6250 0.9602
Ti 0.3750 0.3352 0.4602
Ti 0.6648 0.1250 0.0398
Ti 0.8750 0.9148 0.5398
In 0.2500 0.7500 0.5000
In 0.5000 0.5000 0.0000
P 0.0000 0.0000 0.0000
P 0.7500 0.2500 0.5000
```

Q: Which of these has the lowest energy?
A: CaRe2Rh

Copy entry 5 word for word.
Computed, not measured: crystalline KIn3Hg2 at its relaxed geometry at the PBE level of DFT. Values from VASP.

Calculated values
Its energy is -1.739 eV/atom. The excess energy over the best structure of this formula in the dataset comes out at 0.010 eV/atom. The energy of formation is -0.09 eV/atom.

```
&SYSTEM
  ibrav = 0, nat = 12, ntyp = 3
/
ATOMIC_SPECIES
K 39.10 K.upf
In 114.82 In.upf
Hg 200.59 Hg.upf
CELL_PARAMETERS angstrom
-1.8598 6.1228 7.8648
1.8598 -6.1228 7.8648
1.8598 6.1228 -7.8648
ATOMIC_POSITIONS crystal
K 0.1401 0.1401 0.0000
K 0.8599 0.8599 0.0000
In 0.1201 0.3295 0.7906
In 0.3735 0.0000 0.3735
In 0.4611 0.6705 0.7906
In 0.5389 0.3295 0.2094
In 0.6265 0.0000 0.6265
In 0.8799 0.6705 0.2094
Hg 0.1660 0.5000 0.6660
Hg 0.3317 0.8317 0.5000
Hg 0.6683 0.1683 0.5000
Hg 0.8340 0.5000 0.3340
```

Q: Number 1 is which compound?
A: NdDyAgHg